# 1
Material: Er3CdNi
Method: DFT, PBE
State: relaxed

Structure (CIF):
```
data_Er3CdNi
_cell_length_a 9.758
_cell_length_b 6.458
_cell_length_c 8.891
_cell_angle_alpha 90.00
_cell_angle_beta 117.51
_cell_angle_gamma 90.00
_symmetry_space_group_name_H-M 'C 1 2/m 1'
_symmetry_Int_Tables_number 12
loop_
_symmetry_equiv_pos_as_xyz
'x,y,z'
'-x,-y,-z'
'-x,y,-z'
'x,-y,z'
'x+1/2,y+1/2,z'
'-x+1/2,-y+1/2,-z'
'-x+1/2,y+1/2,-z'
'x+1/2,-y+1/2,z'
loop_
_atom_site_label
_atom_site_type_symbol
_atom_site_fract_x
_atom_site_fract_y
_atom_site_fract_z
Er1 Er 0.042 0.000 0.234
Er2 Er 0.187 0.500 0.891
Er3 Er 0.203 0.500 0.299
Cd1 Cd 0.000 0.286 0.500
Ni1 Ni 0.000 0.294 0.000
```

Values from the calculation:
energy above the most stable polymorph in this dataset	0	meV/atom
E	-87.0	eV/cell
M_tot	0.00	μB per atom
DOS(E_F)	20.8	states/eV per cell
energy of formation from the pure elements	-0.2735	eV per atom

***

# 2
Material: Er3CdNi8
Method: DFT, PBE
State: relaxed

Structure (CIF):
```
data_Er3CdNi8
_cell_length_a 4.9950
_cell_length_b 4.9950
_cell_length_c 24.5706
_cell_angle_alpha 90.00
_cell_angle_beta 90.00
_cell_angle_gamma 120.00
_symmetry_space_group_name_H-M 'R 3 m'
_symmetry_Int_Tables_number 160
_symmetry_space_group_name_Hall 'R 3 -2"'
loop_
_atom_site_label
_atom_site_type_symbol
_atom_site_fract_x
_atom_site_fract_y
_atom_site_fract_z
Er1 Er 0.0000 0.0000 0.0000
Er2 Er 0.0000 0.0000 0.1281
Er3 Er 0.0000 0.0000 0.6178
Cd1 Cd 0.0000 0.0000 0.4961
Ni1 Ni 0.0000 0.0000 0.3111
Ni2 Ni 0.0000 0.0000 0.8110
Ni3 Ni 0.0004 0.5002 0.0605
Ni4 Ni 0.0032 0.5016 0.5613
```

Values from the calculation:
E	-198.1	eV/cell
M_tot	0.00	μB per atom
DOS(E_F)	27.6	states/eV per cell
energy of formation from the pure elements	-0.4305	eV per atom

***

# 3
Material: Er3Cd2Ni
Method: DFT, PBE
State: relaxed

Structure (CIF):
```
data_Er3Cd2Ni
_cell_length_a 15.277
_cell_length_b 5.762
_cell_length_c 7.300
_cell_angle_alpha 90.00
_cell_angle_beta 103.84
_cell_angle_gamma 90.00
_symmetry_space_group_name_H-M 'C 1 2/c 1'
_symmetry_Int_Tables_number 15
loop_
_symmetry_equiv_pos_as_xyz
'x,y,z'
'-x,-y,-z'
'-x,y,-z+1/2'
'x,-y,z+1/2'
'x+1/2,y+1/2,z'
'-x+1/2,-y+1/2,-z'
'-x+1/2,y+1/2,-z+1/2'
'x+1/2,-y+1/2,z+1/2'
loop_
_atom_site_label
_atom_site_type_symbol
_atom_site_fract_x
_atom_site_fract_y
_atom_site_fract_z
Er1 Er 0.000 0.002 0.250
Er2 Er 0.123 0.500 0.062
Cd1 Cd 0.196 0.000 0.098
Ni1 Ni 0.000 0.498 0.750
```

Values from the calculation:
E	-89.5	eV/cell
M_tot	0.00	μB per atom
DOS(E_F)	21.5	states/eV per cell
energy of formation from the pure elements	-0.1796	eV per atom

***

# 4
Material: Er2CdNi2
Method: DFT, PBE
State: relaxed

Structure (CIF):
```
data_Er2CdNi2
_cell_length_a 3.961
_cell_length_b 14.199
_cell_length_c 3.561
_cell_angle_alpha 90.00
_cell_angle_beta 90.00
_cell_angle_gamma 90.00
_symmetry_space_group_name_H-M 'C m m m'
_symmetry_Int_Tables_number 65
_symmetry_space_group_name_Hall '-C 2 2'
loop_
_atom_site_label
_atom_site_type_symbol
_atom_site_fract_x
_atom_site_fract_y
_atom_site_fract_z
Er1 Er 0.000 0.140 0.000
Cd1 Cd 0.000 0.500 0.500
Ni1 Ni 0.000 0.301 0.500
```

Values from the calculation:
E	-47.9	eV/cell
M_tot	0.00	μB per atom
DOS(E_F)	7.1	states/eV per cell
energy of formation from the pure elements	-0.4710	eV per atom

***

# 5
Material: Er5CdNi
Method: DFT, PBE
State: relaxed

Structure (CIF):
```
data_Er5CdNi
_cell_length_a 10.917
_cell_length_b 6.714
_cell_length_c 11.187
_cell_angle_alpha 90.00
_cell_angle_beta 111.02
_cell_angle_gamma 90.00
_symmetry_space_group_name_H-M 'C 1 2/c 1'
_symmetry_Int_Tables_number 15
loop_
_symmetry_equiv_pos_as_xyz
'x,y,z'
'-x,-y,-z'
'-x,y,-z+1/2'
'x,-y,z+1/2'
'x+1/2,y+1/2,z'
'-x+1/2,-y+1/2,-z'
'-x+1/2,y+1/2,-z+1/2'
'x+1/2,-y+1/2,z+1/2'
loop_
_atom_site_label
_atom_site_type_symbol
_atom_site_fract_x
_atom_site_fract_y
_atom_site_fract_z
Er1 Er 0.000 0.002 0.250
Er2 Er 0.126 0.328 0.046
Er3 Er 0.224 0.176 0.636
Cd1 Cd 0.000 0.473 0.750
Ni1 Ni 0.000 0.000 0.000
```

Values from the calculation:
E	-120.0	eV/cell
M_tot	0.00	μB per atom
DOS(E_F)	30.7	states/eV per cell
energy of formation from the pure elements	-0.0697	eV per atom

***

# 6
Material: Er8CdNi2
Method: DFT, PBE
State: relaxed

Structure (CIF):
```
data_Er8CdNi2
_cell_length_a 8.482
_cell_length_b 13.160
_cell_length_c 5.314
_cell_angle_alpha 90.00
_cell_angle_beta 103.77
_cell_angle_gamma 90.00
_symmetry_space_group_name_H-M 'C 1 2/m 1'
_symmetry_Int_Tables_number 12
loop_
_symmetry_equiv_pos_as_xyz
'x,y,z'
'-x,-y,-z'
'-x,y,-z'
'x,-y,z'
'x+1/2,y+1/2,z'
'-x+1/2,-y+1/2,-z'
'-x+1/2,y+1/2,-z'
'x+1/2,-y+1/2,z'
loop_
_atom_site_label
_atom_site_type_symbol
_atom_site_fract_x
_atom_site_fract_y
_atom_site_fract_z
Er1 Er 0.000 0.248 0.000
Er2 Er 0.112 0.500 0.804
Er3 Er 0.203 0.129 0.579
Cd1 Cd 0.000 0.000 0.000
Ni1 Ni 0.000 0.307 0.500
```

Values from the calculation:
E	-101.1	eV/cell
M_tot	0.00	μB per atom
DOS(E_F)	27.7	states/eV per cell
energy of formation from the pure elements	-0.1406	eV per atom

***

# 7
Material: Er4CdNi
Method: DFT, PBE
State: relaxed

Structure (CIF):
```
data_Er4CdNi
_cell_length_a 7.069
_cell_length_b 7.032
_cell_length_c 6.835
_cell_angle_alpha 90.00
_cell_angle_beta 94.94
_cell_angle_gamma 90.00
_symmetry_space_group_name_H-M 'P 1 21/c 1'
_symmetry_Int_Tables_number 14
loop_
_symmetry_equiv_pos_as_xyz
'x,y,z'
'-x,-y,-z'
'-x,y+1/2,-z+1/2'
'x,-y+1/2,z+1/2'
loop_
_atom_site_label
_atom_site_type_symbol
_atom_site_fract_x
_atom_site_fract_y
_atom_site_fract_z
Er1 Er 0.140 0.167 0.187
Er2 Er 0.318 0.643 0.107
Cd1 Cd 0.500 0.000 0.000
Ni1 Ni 0.000 0.000 0.500
```

Values from the calculation:
energy above the most stable polymorph in this dataset	233	meV/atom
E	-50.8	eV/cell
M_tot	0.00	μB per atom
DOS(E_F)	17.0	states/eV per cell
energy of formation from the pure elements	-0.0790	eV per atom

***

# 8
Material: Er2CdNi12P3
Method: DFT, PBE
State: relaxed

Structure (CIF):
```
data_Er2CdNi12P3
_cell_length_a 8.5381
_cell_length_b 8.5381
_cell_length_c 11.7070
_cell_angle_alpha 90.00
_cell_angle_beta 90.00
_cell_angle_gamma 120.00
_symmetry_space_group_name_H-M 'R -3 m'
_symmetry_Int_Tables_number 166
_symmetry_space_group_name_Hall '-R 3 2"'
loop_
_atom_site_label
_atom_site_type_symbol
_atom_site_fract_x
_atom_site_fract_y
_atom_site_fract_z
Er1 Er 0.0000 0.0000 0.1538
Cd1 Cd 0.0000 0.0000 0.5000
Ni1 Ni 0.0022 0.5011 0.8179
Ni2 Ni 0.0110 0.5055 0.3858
P1 P 0.0000 0.5000 0.0000
```

Values from the calculation:
E	-294.4	eV/cell
M_tot	0.00	μB per atom
DOS(E_F)	45.5	states/eV per cell
energy of formation from the pure elements	-0.1372	eV per atom

***

# 9
Material: PmErCdNi
Method: DFT, PBE
State: relaxed

Structure (CIF):
```
data_PmErCdNi
_cell_length_a 7.212
_cell_length_b 7.212
_cell_length_c 7.212
_cell_angle_alpha 90.00
_cell_angle_beta 90.00
_cell_angle_gamma 90.00
_symmetry_space_group_name_H-M 'F -4 3 m'
_symmetry_Int_Tables_number 216
_symmetry_space_group_name_Hall 'F -4 2 3'
loop_
_atom_site_label
_atom_site_type_symbol
_atom_site_fract_x
_atom_site_fract_y
_atom_site_fract_z
Pm1 Pm 0.000 0.000 0.000
Er1 Er 0.000 0.000 0.500
Cd1 Cd 0.250 0.250 0.750
Ni1 Ni 0.250 0.250 0.250
```

Values from the calculation:
E	-67.8	eV/cell
M_tot	0.00	μB per atom
DOS(E_F)	12.3	states/eV per cell
energy of formation from the pure elements	-0.2330	eV per atom

***

# 10
Material: ErCdNiPt
Method: DFT, PBE
State: relaxed

Structure (CIF):
```
data_ErCdNiPt
_cell_length_a 6.630
_cell_length_b 6.630
_cell_length_c 6.630
_cell_angle_alpha 90.00
_cell_angle_beta 90.00
_cell_angle_gamma 90.00
_symmetry_space_group_name_H-M 'F -4 3 m'
_symmetry_Int_Tables_number 216
_symmetry_space_group_name_Hall 'F -4 2 3'
loop_
_atom_site_label
_atom_site_type_symbol
_atom_site_fract_x
_atom_site_fract_y
_atom_site_fract_z
Er1 Er 0.000 0.000 0.000
Cd1 Cd 0.000 0.000 0.500
Ni1 Ni 0.250 0.250 0.250
Pt1 Pt 0.250 0.250 0.750
```

Values from the calculation:
E	-78.4	eV/cell
M_tot	0.00	μB per atom
DOS(E_F)	8.2	states/eV per cell
energy of formation from the pure elements	-0.5779	eV per atom

***

# 11
Material: ErCdNiRh
Method: DFT, PBE
State: relaxed

Structure (CIF):
```
data_ErCdNiRh
_cell_length_a 6.551
_cell_length_b 6.551
_cell_length_c 6.551
_cell_angle_alpha 90.00
_cell_angle_beta 90.00
_cell_angle_gamma 90.00
_symmetry_space_group_name_H-M 'F -4 3 m'
_symmetry_Int_Tables_number 216
_symmetry_space_group_name_Hall 'F -4 2 3'
loop_
_atom_site_label
_atom_site_type_symbol
_atom_site_fract_x
_atom_site_fract_y
_atom_site_fract_z
Er1 Er 0.000 0.000 0.000
Cd1 Cd 0.000 0.000 0.500
Ni1 Ni 0.250 0.250 0.250
Rh1 Rh 0.250 0.250 0.750
```

Values from the calculation:
E	-81.2	eV/cell
M_tot	0.00	μB per atom
DOS(E_F)	9.4	states/eV per cell
energy of formation from the pure elements	-0.4232	eV per atom

***

# 12
Material: YErCdNi
Method: DFT, PBE
State: relaxed

Structure (CIF):
```
data_YErCdNi
_cell_length_a 7.126
_cell_length_b 7.126
_cell_length_c 7.126
_cell_angle_alpha 90.00
_cell_angle_beta 90.00
_cell_angle_gamma 90.00
_symmetry_space_group_name_H-M 'F -4 3 m'
_symmetry_Int_Tables_number 216
_symmetry_space_group_name_Hall 'F -4 2 3'
loop_
_atom_site_label
_atom_site_type_symbol
_atom_site_fract_x
_atom_site_fract_y
_atom_site_fract_z
Y1 Y 0.000 0.000 0.000
Er1 Er 0.000 0.000 0.500
Cd1 Cd 0.250 0.250 0.750
Ni1 Ni 0.250 0.250 0.250
```

Values from the calculation:
E	-75.3	eV/cell
M_tot	0.00	μB per atom
DOS(E_F)	11.8	states/eV per cell
energy of formation from the pure elements	-0.2737	eV per atom